(1)
DFT (GGA-PBE) results for a relaxed Cs2MgCoS crystal.

The formation energy from raw total energies comes out at 20.24 kJ/mol of atoms.

a b c (Å): 6.940 4.899 6.940
angles (deg): 90.00 90.00 90.00
Sites, in units of the cell vectors:
S  0.000  0.000  0.000
Mg  0.000  0.500  0.000
Co  0.500  0.500  0.500
Cs  0.000  0.000  0.500
Cs  0.500  0.000  0.000

***

(2)
DFT (GGA-PBE) results for a relaxed Th3Fe3Bi crystal.

The calculation puts the formation enthalpy at 0 K at -0.19 eV per atom.

a b c (Å): 4.014 9.748 9.748
angles (deg): 120.00 90.00 90.00
Sites, in units of the cell vectors:
Th  0.750  0.678  0.054
Th  0.250  0.624  0.678
Th  0.750  0.946  0.624
Th  0.750  0.376  0.322
Th  0.250  0.322  0.946
Th  0.250  0.054  0.376
Fe  0.250  0.861  0.014
Fe  0.750  0.847  0.861
Fe  0.750  0.014  0.153
Fe  0.750  0.139  0.986
Fe  0.250  0.153  0.139
Fe  0.250  0.986  0.847
Bi  0.250  0.667  0.333
Bi  0.750  0.333  0.667

***

(3)
DFT (GGA-PBE) results for a relaxed Si2HCl crystal.

The value obtained for the energy above the lowest structure with this stoichiometry is 427 meV per atom.

a b c (Å): 4.424 4.424 4.424
angles (deg): 60.00 60.00 60.00
Sites, in units of the cell vectors:
Si  0.250  0.250  0.250
Si  0.750  0.750  0.750
Cl  0.500  0.500  0.500
H  0.000  0.000  0.000